Here is a relaxed structure of LaBe3Pt from Alexandria. Energies are from PBE-GGA.

The space group is P2_1/m (No. 11) and the conventional cell measures 6.260, 3.928 and 6.326 Å, with angles of 90.00, 111.17 and 90.00 degrees. The asymmetric unit holds La at (0.141, 0.250, 0.164), Be at (0.087, 0.250, 0.604), Be at (0.475, 0.250, 0.913), Be at (0.489, 0.250, 0.583) and Pt at (0.317, 0.750, 0.671).

Its calculated total energy is -0.1787 hartree per atom. The value obtained for the volume is 14.506 Å³/atom. The formation energy is -209 kJ/mol of formula units. For the energy above the most stable polymorph in this dataset, the calculation gives 27 kJ/mol of formula units.

Here is a relaxed structure of KSb2Se from Alexandria. Energies are from PBE-GGA.

The space group is Immm (No. 71) and the conventional cell measures 3.766, 5.361 and 11.314 Å, with angles of 90.00, 90.00 and 90.00 degrees. The asymmetric unit holds K at (0.000, 0.000, 0.000), Sb at (0.000, 0.500, 0.209) and Se at (0.000, 0.000, 0.500).

Its calculated total energy is -0.1265 hartree per atom. The value obtained for the volume is 28.552 Å³/atom. The formation energy (no corrections) is -0.234 eV per atom. For the energy above the most stable polymorph in this dataset, the calculation gives 47 kJ/mol of formula units.

Here is a relaxed structure of La2NdSmAs4 from Alexandria. Energies are from PBE-GGA.

The space group is P2/m (No. 10) and the conventional cell measures 7.462, 4.312 and 7.464 Å, with angles of 90.00, 109.44 and 90.00 degrees. The asymmetric unit holds La at (0.000, 0.000, 0.000), La at (0.500, 0.500, 0.000), Nd at (0.000, 0.500, 0.500), Sm at (0.500, 0.000, 0.500), As at (0.250, 0.000, 0.745) and As at (0.254, 0.500, 0.256).

Its calculated total energy is -0.2311 hartree per atom. The value obtained for the volume is 28.309 Å³/atom. The formation energy is -1193 kJ/mol of formula units.

Here is a relaxed structure of La12ZnSn3 from Alexandria. Energies are from PBE-GGA.

The space group is P4/mmm (No. 123) and the conventional cell measures 5.038, 5.038 and 19.917 Å, with angles of 90.00, 90.00 and 90.00 degrees. The asymmetric unit holds La at (0.000, 0.000, 0.000), La at (0.000, 0.000, 0.246), La at (0.000, 0.000, 0.500), La at (0.000, 0.500, 0.122), La at (0.000, 0.500, 0.374), Zn at (0.500, 0.500, 0.000), Sn at (0.500, 0.500, 0.247) and Sn at (0.500, 0.500, 0.500).

Its calculated total energy is -0.1804 hartree per atom. The value obtained for the volume is 31.592 Å³/atom. The formation energy is -593 kJ/mol of formula units.

Here is a relaxed structure of Mo2PCl from Alexandria. Energies are from PBE-GGA.

The space group is F-43m (No. 216) and the conventional cell measures 6.312, 6.312 and 6.312 Å, with angles of 90.00, 90.00 and 90.00 degrees. The asymmetric unit holds Mo at (0.000, 0.000, 0.000), Mo at (0.250, 0.250, 0.250), P at (0.250, 0.250, 0.750) and Cl at (0.000, 0.000, 0.500).

Its calculated total energy is -0.2361 hartree per atom. The value obtained for the volume is 15.719 Å³/atom. The formation energy (no corrections) is 0.806 eV per atom. For the energy above the most stable polymorph in this dataset, the calculation gives 345 kJ/mol of formula units.

Here is a relaxed structure of PmAg4P from Alexandria. Energies are from PBE-GGA.

The space group is F-43m (No. 216) and the conventional cell measures 7.873, 7.873 and 7.873 Å, with angles of 90.00, 90.00 and 90.00 degrees. The asymmetric unit holds Pm at (0.000, 0.000, 0.000), Ag at (0.125, 0.125, 0.625) and P at (0.250, 0.250, 0.250).

Its calculated total energy is -0.1341 hartree per atom. The value obtained for the volume is 20.330 Å³/atom. The formation energy is -31 kJ/mol of formula units.

Here is a relaxed structure of HoCl2 from Alexandria. Energies are from PBE-GGA.

The space group is P4_2/mnm (No. 136) and the conventional cell measures 6.865, 6.865 and 3.452 Å, with angles of 90.00, 90.00 and 90.00 degrees. The asymmetric unit holds Ho at (0.000, 0.000, 0.000) and Cl at (0.219, 0.219, 0.500).

Its calculated total energy is -0.1694 hartree per atom. The value obtained for the volume is 27.111 Å³/atom. The formation energy (no corrections) is -1.852 eV per atom.

Here is a relaxed structure of TmICl2 from Alexandria. Energies are from PBE-GGA.

The space group is Cc (No. 9) and the conventional cell measures 8.195, 11.509 and 7.266 Å, with angles of 90.00, 121.96 and 90.00 degrees. The asymmetric unit holds Tm at (0.000, 0.092, 0.000), I at (0.240, 0.102, 0.800), Cl at (0.237, 0.250, 0.271) and Cl at (0.305, 0.442, 0.689).

Its calculated total energy is -0.1608 hartree per atom. The value obtained for the volume is 36.339 Å³/atom. The formation energy (no corrections) is -1.948 eV per atom. For the energy above the most stable polymorph in this dataset, the calculation gives 0 kJ/mol of formula units.

Here is a relaxed structure of Ca2FeGe3Ir4 from Alexandria. Energies are from PBE-GGA.

The space group is P-4m2 (No. 115) and the conventional cell measures 4.169, 4.169 and 10.426 Å, with angles of 90.00, 90.00 and 90.00 degrees. The asymmetric unit holds Ca at (0.000, 0.500, 0.249), Fe at (0.500, 0.500, 0.000), Ge at (0.000, 0.000, 0.000), Ge at (0.000, 0.500, 0.630), Ir at (0.000, 0.000, 0.500), Ir at (0.000, 0.500, 0.868) and Ir at (0.500, 0.500, 0.500).

Its calculated total energy is -0.2467 hartree per atom. The value obtained for the volume is 18.123 Å³/atom. The formation energy is -518 kJ/mol of formula units.

Here is a relaxed structure of TlTcW2 from Alexandria. Energies are from PBE-GGA.

The space group is Cmmm (No. 65) and the conventional cell measures 5.567, 8.301 and 2.946 Å, with angles of 90.00, 90.00 and 90.00 degrees. The asymmetric unit holds Tl at (0.000, 0.000, 0.000), Tc at (0.000, 0.500, 0.000) and W at (0.250, 0.250, 0.500).

Its calculated total energy is -0.3257 hartree per atom. The value obtained for the volume is 17.017 Å³/atom. The formation energy is 308 kJ/mol of formula units. For the energy above the most stable polymorph in this dataset, the calculation gives 96 kJ/mol of formula units.

Here is a relaxed structure of AgIrOs2 from Alexandria. Energies are from PBE-GGA.

The space group is Cm (No. 8) and the conventional cell measures 9.205, 2.736 and 4.855 Å, with angles of 90.00, 99.49 and 90.00 degrees. The asymmetric unit holds Ag at (0.000, 0.000, 0.000), Ir at (0.242, 0.000, 0.751), Os at (0.003, 0.500, 0.493) and Os at (0.261, 0.500, 0.284).

Its calculated total energy is -0.2963 hartree per atom. The value obtained for the volume is 15.078 Å³/atom. The formation energy is 185 kJ/mol of formula units. For the energy above the most stable polymorph in this dataset, the calculation gives 79 kJ/mol of formula units.

Here is a relaxed structure of LaPuRh2 from Alexandria. Energies are from PBE-GGA.

The space group is P2/c (No. 13) and the conventional cell measures 5.722, 5.718 and 12.492 Å, with angles of 90.00, 113.59 and 90.00 degrees. The asymmetric unit holds La at (0.125, 0.231, 0.124), Pu at (0.413, 0.298, 0.876), Rh at (0.098, 0.271, 0.651) and Rh at (0.394, 0.189, 0.398).

Its calculated total energy is -0.3300 hartree per atom. The value obtained for the volume is 23.411 Å³/atom. The formation energy is -189 kJ/mol of formula units.

Here is a relaxed structure of Dy4ErSe5 from Alexandria. Energies are from PBE-GGA.

The space group is I4/m (No. 87) and the conventional cell measures 9.083, 9.083 and 5.765 Å, with angles of 90.00, 90.00 and 90.00 degrees. The asymmetric unit holds Dy at (0.098, 0.698, 0.000), Er at (0.000, 0.000, 0.500), Se at (0.000, 0.000, 0.000) and Se at (0.101, 0.703, 0.500).

Its calculated total energy is -0.2123 hartree per atom. The value obtained for the volume is 23.779 Å³/atom. The formation energy (no corrections) is -1.736 eV per atom.

Here is a relaxed structure of Cs2NaPr from Alexandria. Energies are from PBE-GGA.

The space group is R-3m (No. 166, hexagonal axes) and the conventional cell measures 4.0510, 4.0510 and 45.4116 Å, with angles of 90.00, 90.00 and 120.00 degrees. The asymmetric unit holds Cs at (0.0000, 0.0000, 0.0851), Na at (0.0000, 0.0000, 0.5000) and Pr at (0.0000, 0.0000, 0.0000).

Its calculated total energy is -0.0561 hartree per atom. The value obtained for the volume is 53.783 Å³/atom. The formation energy is 164 kJ/mol of formula units.

Here is a relaxed structure of GeB2H from Alexandria. Energies are from PBE-GGA.

The space group is Fm-3m (No. 225) and the conventional cell measures 5.222, 5.222 and 5.222 Å, with angles of 90.00, 90.00 and 90.00 degrees. The asymmetric unit holds Ge at (0.000, 0.000, 0.000), B at (0.250, 0.250, 0.250) and H at (0.000, 0.000, 0.500).

Its calculated total energy is -0.1384 hartree per atom. The value obtained for the volume is 8.899 Å³/atom. For the energy above the most stable polymorph in this dataset, the calculation gives 308 kJ/mol of formula units.

Here is a relaxed structure of Hf3Zr6Cd2 from Alexandria. Energies are from PBE-GGA.

The space group is C2/m (No. 12) and the conventional cell measures 5.511, 9.528 and 10.358 Å, with angles of 90.00, 100.16 and 90.00 degrees. The asymmetric unit holds Hf at (0.000, 0.000, 0.000), Hf at (0.000, 0.333, 0.000), Zr at (0.249, 0.167, 0.248), Zr at (0.250, 0.000, 0.752) and Cd at (0.000, 0.167, 0.500).

Its calculated total energy is -0.2729 hartree per atom. The value obtained for the volume is 24.333 Å³/atom. The formation energy is 123 kJ/mol of formula units.

Here is a relaxed structure of Ca2TbY from Alexandria. Energies are from PBE-GGA.

The space group is Fm-3m (No. 225) and the conventional cell measures 8.284, 8.284 and 8.284 Å, with angles of 90.00, 90.00 and 90.00 degrees. The asymmetric unit holds Ca at (0.250, 0.250, 0.250), Tb at (0.000, 0.000, 0.000) and Y at (0.000, 0.000, 0.500).

Its calculated total energy is -0.1323 hartree per atom. The value obtained for the volume is 35.535 Å³/atom. The formation energy is 68 kJ/mol of formula units. For the energy above the most stable polymorph in this dataset, the calculation gives 19 kJ/mol of formula units.

Here is a relaxed structure of Sm2Dy5Sc5 from Alexandria. Energies are from PBE-GGA.

The space group is C2/m (No. 12) and the conventional cell measures 14.623, 4.823 and 10.934 Å, with angles of 90.00, 116.58 and 90.00 degrees. The asymmetric unit holds Sm at (0.082, 0.000, 0.253), Dy at (0.000, 0.000, 0.500), Dy at (0.164, 0.000, 0.998), Dy at (0.247, 0.000, 0.745), Sc at (0.000, 0.500, 0.000), Sc at (0.083, 0.500, 0.748) and Sc at (0.168, 0.500, 0.501).

Its calculated total energy is -0.1944 hartree per atom. The value obtained for the volume is 28.735 Å³/atom. The formation energy is 59 kJ/mol of formula units.

Here is a relaxed structure of LaTh3 from Alexandria. Energies are from PBE-GGA.

The space group is Pm-3m (No. 221) and the conventional cell measures 5.066, 5.066 and 5.066 Å, with angles of 90.00, 90.00 and 90.00 degrees. The asymmetric unit holds La at (0.000, 0.000, 0.000) and Th at (0.000, 0.500, 0.500).

Its calculated total energy is -0.2476 hartree per atom. The value obtained for the volume is 32.506 Å³/atom. The formation energy is 22 kJ/mol of formula units. For the energy above the most stable polymorph in this dataset, the calculation gives 4 kJ/mol of formula units.

Here is a relaxed structure of VSnSe2 from Alexandria. Energies are from PBE-GGA.

The space group is Cmcm (No. 63) and the conventional cell measures 3.313, 19.944 and 5.043 Å, with angles of 90.00, 90.00 and 90.00 degrees. The asymmetric unit holds V at (0.000, 0.215, 0.250), Sn at (0.000, 0.045, 0.750), Se at (0.000, 0.191, 0.750) and Se at (0.000, 0.379, 0.750).

Its calculated total energy is -0.1971 hartree per atom. The value obtained for the volume is 20.827 Å³/atom. The formation energy (no corrections) is -0.341 eV per atom.

Here is a relaxed structure of Dy4Zn3 from Alexandria. Energies are from PBE-GGA.

The space group is R-3m (No. 166, hexagonal axes) and the conventional cell measures 4.9517, 4.9517 and 25.8258 Å, with angles of 90.00, 90.00 and 120.00 degrees. The asymmetric unit holds Dy at (0.0000, 0.0000, 0.1243), Dy at (0.0000, 0.0000, 0.2922), Zn at (0.0000, 0.0000, 0.4060) and Zn at (0.0000, 0.0000, 0.5000).

Its calculated total energy is -0.1200 hartree per atom. The value obtained for the volume is 26.114 Å³/atom. The formation energy is -61 kJ/mol of formula units. For the energy above the most stable polymorph in this dataset, the calculation gives 72 kJ/mol of formula units.

Here is a relaxed structure of Na2MgSiSe from Alexandria. Energies are from PBE-GGA.

The space group is P4/mmm (No. 123) and the conventional cell measures 5.714, 5.714 and 4.887 Å, with angles of 90.00, 90.00 and 90.00 degrees. The asymmetric unit holds Na at (0.000, 0.500, 0.000), Mg at (0.000, 0.000, 0.500), Si at (0.500, 0.500, 0.000) and Se at (0.500, 0.500, 0.500).

Its calculated total energy is -0.0893 hartree per atom. The value obtained for the volume is 31.914 Å³/atom. The formation energy (no corrections) is 0.197 eV per atom.

Here is a relaxed structure of Ca2Sm2AgPd4 from Alexandria. Energies are from PBE-GGA.

The space group is I4/mmm (No. 139) and the conventional cell measures 7.067, 7.067 and 8.779 Å, with angles of 90.00, 90.00 and 90.00 degrees. The asymmetric unit holds Ca at (0.000, 0.500, 0.250), Sm at (0.000, 0.000, 0.191), Ag at (0.000, 0.000, 0.500) and Pd at (0.229, 0.229, 0.000).

Its calculated total energy is -0.1649 hartree per atom. The value obtained for the volume is 24.355 Å³/atom. The formation energy is -321 kJ/mol of formula units.

Here is a relaxed structure of Pm2NiSn3Rh4 from Alexandria. Energies are from PBE-GGA.

The space group is P-4m2 (No. 115) and the conventional cell measures 4.264, 4.264 and 11.293 Å, with angles of 90.00, 90.00 and 90.00 degrees. The asymmetric unit holds Pm at (0.000, 0.500, 0.233), Ni at (0.500, 0.500, 0.000), Sn at (0.000, 0.000, 0.000), Sn at (0.000, 0.500, 0.634), Rh at (0.000, 0.000, 0.500), Rh at (0.000, 0.500, 0.864) and Rh at (0.500, 0.500, 0.500).

Its calculated total energy is -0.2304 hartree per atom. The value obtained for the volume is 20.537 Å³/atom. The formation energy is -579 kJ/mol of formula units.

Here is a relaxed structure of LaPaPd from Alexandria. Energies are from PBE-GGA.

The space group is Pnnm (No. 58) and the conventional cell measures 7.741, 12.059 and 3.411 Å, with angles of 90.00, 90.00 and 90.00 degrees. The asymmetric unit holds La at (0.177, 0.101, 0.000), Pa at (0.060, 0.398, 0.000) and Pd at (0.182, 0.807, 0.000).

Its calculated total energy is -0.2465 hartree per atom. The value obtained for the volume is 26.534 Å³/atom. The formation energy is -49 kJ/mol of formula units.